No. 1
Material: Y3ErCu2
Method: DFT, GGA-PBE
State: relaxed

Unit cell a=6.7753 b=7.1957 c=8.3422 alpha=115.55 beta=113.96 gamma=90.00
Positions (direct):
Y 0.5000 0.2500 0.0000
Y 0.5000 0.7500 0.0000
Y 0.7668 0.0168 0.5336
Y 0.2332 0.4832 0.4664
Y 0.2332 0.9832 0.4664
Y 0.7668 0.5168 0.5336
Er 0.0000 0.5000 0.0000
Er 0.0000 0.0000 0.0000
Cu 0.5692 0.3596 0.7191
Cu 0.8501 0.1404 0.2809
Cu 0.1499 0.8596 0.7191
Cu 0.4308 0.6404 0.2809

Values from the calculation:
Energy of formation, eV/atom: 0.01
Space group: Ibam, No. 72
ΔE to the lowest computed polymorph, kJ per mole of atoms: 17.3



No. 2
Material: Cd12Hg17
Method: DFT, GGA-PBE
State: relaxed

Unit cell a=9.8177 b=9.8176 c=9.8181 alpha=104.72 beta=111.89 gamma=111.90
Positions (direct):
Cd 0.0000 0.3922 0.1964
Cd 0.0000 0.1964 0.3922
Cd 0.8043 0.6078 0.6078
Cd 0.1957 0.8036 0.8036
Cd 0.1936 0.3859 0.0073
Cd 0.3786 0.1863 0.9927
Cd 0.8064 0.8137 0.1923
Cd 0.6214 0.6141 0.8077
Cd 0.8065 0.1923 0.8137
Cd 0.6214 0.8077 0.6141
Cd 0.3786 0.9927 0.1863
Cd 0.1935 0.0073 0.3859
Hg 0.0000 0.4145 0.6937
Hg 0.0000 0.6937 0.4145
Hg 0.2792 0.5855 0.5855
Hg 0.7208 0.3063 0.3063
Hg 0.6955 0.4198 0.0009
Hg 0.4189 0.6946 0.9991
Hg 0.3045 0.3054 0.7243
Hg 0.5811 0.5802 0.2757
Hg 0.3045 0.7243 0.3054
Hg 0.5811 0.2757 0.5802
Hg 0.4189 0.9991 0.6946
Hg 0.6955 0.0009 0.4198
Hg 0.0000 0.6778 0.9959
Hg 0.0000 0.9959 0.6778
Hg 0.3181 0.3222 0.3222
Hg 0.6819 0.0041 0.0041
Hg 0.0000 0.0000 0.0000

Values from the calculation:
Energy of formation, eV/atom: 0.03
Space group: I-42m, No. 121



Size of the total moment list, top to bottom, in μB per formula unit: 0.00, 0.00
DOS(E_F) list, top to bottom, in states/eV per atom: 1.251, 0.359